Material: MnCdSeBr2
Method: DFT, PBEsol
State: optimized geometry

Properties
Energy relative to the lowest polymorph listed for this composition in eV per atom: 0.439
ΔE_f (raw) in meV/atom: 299
Total moment in μB per cell: 5.14

Unit cell a=5.204 b=5.204 c=5.344 alpha=90.00 beta=90.00 gamma=90.00
Space group P4/mmm (No. 123)
One atom of each set of equivalent atoms:
Mn1 0.000 0.000 0.000 [1 per cell]
Cd1 0.500 0.500 0.500 [1 per cell]
Se1 0.500 0.500 0.000 [1 per cell]
Br1 0.000 0.500 0.500 [2 per cell]


Material: Mn2CdTcBr
Method: DFT, PBEsol
State: optimized geometry

Properties
ΔE_f (raw) in meV/atom: 1165
Total moment in μB per cell: 4.47

Unit cell a=4.374 b=4.374 c=4.581 alpha=90.00 beta=90.00 gamma=90.00
Space group P4/mmm (No. 123)
One atom of each set of equivalent atoms:
Mn1 0.000 0.500 0.000 [2 per cell]
Cd1 0.000 0.000 0.500 [1 per cell]
Tc1 0.500 0.500 0.500 [1 per cell]
Br1 0.500 0.500 0.000 [1 per cell]


> Which value of total moment does entry 2 give?

4.47 μB per cell


> Number 2 is which compound?

Mn2CdTcBr